No. 1
Entry from Alexandria via LeMat-Bulk: a relaxed Mn2SiAu crystal (PBE).

Output
Raw total energy (eV/atom): -6.77
Uncorrected formation energy (eV/atom): -0.006
V (Å³/cell): 55.5
Total magnetization (μB per formula unit): 5.4
Crystal system: tetragonal

```
data_Mn2SiAu
_chemical_formula_sum 'Mn2 Si1 Au1'
_cell_length_a 3.8156
_cell_length_b 3.8156
_cell_length_c 3.8138
_cell_angle_alpha 90.00
_cell_angle_beta 90.00
_cell_angle_gamma 90.00
_symmetry_space_group_name_H-M 'P 4/m m m'
_symmetry_Int_Tables_number 123
_symmetry_space_group_name_Hall '-P 4 2'
loop_
_atom_site_label
_atom_site_type_symbol
_atom_site_fract_x
_atom_site_fract_y
_atom_site_fract_z
Mn1 Mn 0.0000 0.5000 0.0000
Si1 Si 0.0000 0.0000 0.5000
Au1 Au 0.5000 0.5000 0.5000
```

No. 2
Entry from Alexandria via LeMat-Bulk: a relaxed MnSiAu2 crystal (PBE).

Output
Raw total energy (eV/atom): -5.20
Uncorrected formation energy (eV/atom): 0.088
V (Å³/cell): 66.6
Total magnetization (μB per formula unit): 3.7
Crystal system: monoclinic

```
data_MnSiAu2
_chemical_formula_sum 'Mn1 Si1 Au2'
_cell_length_a 3.0458
_cell_length_b 4.2083
_cell_length_c 5.3885
_cell_angle_alpha 90.00
_cell_angle_beta 105.28
_cell_angle_gamma 90.00
_symmetry_space_group_name_H-M 'P 1 2/m 1'
_symmetry_Int_Tables_number 10
_symmetry_space_group_name_Hall '-P 2y'
loop_
_atom_site_label
_atom_site_type_symbol
_atom_site_fract_x
_atom_site_fract_y
_atom_site_fract_z
Mn1 Mn 0.0000 0.0000 0.0000
Si1 Si 0.0000 0.0000 0.5000
Au1 Au 0.3559 0.5000 0.7407
```

No. 3
Entry from Alexandria via LeMat-Bulk: a relaxed Mn2SiAu crystal (PBE).

Output
Raw total energy (eV/atom): -6.31
Uncorrected formation energy (eV/atom): 0.454
V (Å³/cell): 233.4
Total magnetization (μB per formula unit): 0.0
Crystal system: tetragonal

```
data_Mn2SiAu
_chemical_formula_sum 'Mn8 Si4 Au4'
_cell_length_a 3.6344
_cell_length_b 3.6344
_cell_length_c 17.6722
_cell_angle_alpha 90.00
_cell_angle_beta 90.00
_cell_angle_gamma 90.00
_symmetry_space_group_name_H-M 'I -4 2 d'
_symmetry_Int_Tables_number 122
_symmetry_space_group_name_Hall 'I -4 2bw'
loop_
_atom_site_label
_atom_site_type_symbol
_atom_site_fract_x
_atom_site_fract_y
_atom_site_fract_z
Mn1 Mn 0.1591 0.2500 0.1250
Si1 Si 0.0000 0.0000 0.0000
Au1 Au 0.0000 0.0000 0.5000
```